Record 1
Here is CdIrRh after structural relaxation from Alexandria. Energies are from PBE.

Values from the calculation:
Formation enthalpy at 0 K (kJ per mole of atoms): 17.9
Electronic total energy (eV per atom): -5.5239

Cell lengths 5.106, 5.106, 5.106 Å; angles 148.00, 135.50, 55.86 degrees
Atoms (fractional coordinates):
Cd  0.000  0.000  0.000
Ir  0.315  0.315  0.000
Rh  0.684  0.684  0.000

Record 2
Here is CdIr2Rh after structural relaxation from Alexandria. Energies are from PBE.

Values from the calculation:
Formation enthalpy at 0 K (kJ per mole of atoms): 35.6
Electronic total energy (eV per atom): -6.1283

Cell lengths 3.223, 3.223, 6.166 Å; angles 90.00, 90.00, 90.00 degrees
Atoms (fractional coordinates):
Cd  0.000  0.000  0.000
Ir  0.500  0.500  0.277
Ir  0.500  0.500  0.723
Rh  0.000  0.000  0.500